No. 1
GGA-PBE Nd2NpH12Rh3, optimized geometry; space-group type = R-3m, No. 166; electronic total energy = -4.971 eV/atom; D(E_F) = 0.62 states/eV per atom
1.0
3.287 1.898 4.850
-3.287 1.898 4.850
0.000 -3.795 4.850
Nd Np H Rh
2 1 12 3
direct
0.116 0.116 0.116 Nd
0.884 0.884 0.884 Nd
0.500 0.500 0.500 Np
0.079 0.636 0.636 H
0.218 0.218 0.627 H
0.218 0.627 0.218 H
0.364 0.364 0.921 H
0.364 0.921 0.364 H
0.373 0.782 0.782 H
0.627 0.218 0.218 H
0.636 0.079 0.636 H
0.636 0.636 0.079 H
0.782 0.373 0.782 H
0.782 0.782 0.373 H
0.921 0.364 0.364 H
0.000 0.500 0.500 Rh
0.500 0.000 0.500 Rh
0.500 0.500 0.000 Rh

***

No. 2
GGA-PBE LaAgIr2, optimized geometry; space-group type = P4/mmm, No. 123; energy above the lowest structure with this stoichiometry = 0.321 eV per atom; DFT formation energy = 0.236 eV/atom; D(E_F) = 0.87 states/eV per atom
1.0
3.132 0.000 0.000
0.000 3.132 0.000
0.000 0.000 7.822
La Ag Ir
1 1 2
direct
0.000 0.000 0.000 La
0.000 0.000 0.500 Ag
0.500 0.500 0.270 Ir
0.500 0.500 0.730 Ir

***

No. 3
GGA-PBE Sr2LiPt, optimized geometry; space-group type = Fm-3m, No. 225; energy above the lowest structure with this stoichiometry = 0.111 eV per atom; DFT formation energy = -0.403 eV/atom; D(E_F) = 0.84 states/eV per atom
1.0
0.000 3.798 3.798
3.798 0.000 3.798
3.798 3.798 0.000
Sr Li Pt
2 1 1
direct
0.250 0.250 0.250 Sr
0.750 0.750 0.750 Sr
0.000 0.000 0.000 Li
0.500 0.500 0.500 Pt

***

No. 4
GGA-PBE InGa3Cl8, optimized geometry; space-group type = C2/m, No. 12; ΔE_f (raw) = -12.5 eV per formula unit; D(E_F) = 0.00 states/eV per atom
1.0
5.459 -3.754 0.000
5.459 3.754 0.000
-0.400 0.000 10.095
In Ga Cl
1 3 8
direct
0.000 0.000 0.000 In
0.000 0.000 0.500 Ga
0.389 0.389 0.740 Ga
0.611 0.611 0.260 Ga
0.251 0.730 0.261 Cl
0.270 0.749 0.739 Cl
0.275 0.275 0.557 Cl
0.292 0.292 0.926 Cl
0.708 0.708 0.074 Cl
0.725 0.725 0.443 Cl
0.730 0.251 0.261 Cl
0.749 0.270 0.739 Cl

***

No. 5
GGA-PBE Ba6Sb3O, optimized geometry; space-group type = Cmc2_1, No. 36; ΔE_f (raw) = -12.5 eV per formula unit; D(E_F) = 0.40 states/eV per atom
1.0
6.737 -8.389 0.000
6.737 8.389 0.000
0.000 0.000 8.043
Ba Sb O
12 6 2
direct
0.050 0.950 0.500 Ba
0.112 0.592 0.478 Ba
0.213 0.787 0.943 Ba
0.326 0.359 0.941 Ba
0.359 0.326 0.441 Ba
0.408 0.888 0.478 Ba
0.592 0.112 0.978 Ba
0.641 0.674 0.941 Ba
0.674 0.641 0.441 Ba
0.787 0.213 0.443 Ba
0.888 0.408 0.978 Ba
0.950 0.050 0.000 Ba
0.073 0.284 0.672 Sb
0.284 0.073 0.172 Sb
0.381 0.619 0.218 Sb
0.619 0.381 0.718 Sb
0.716 0.927 0.672 Sb
0.927 0.716 0.172 Sb
0.190 0.810 0.621 O
0.810 0.190 0.121 O

***

No. 6
GGA-PBE In6Bi2Pb, optimized geometry; space-group type = Amm2, No. 38; energy above the lowest structure with this stoichiometry = 0.012 eV per atom; DFT formation energy = 0.034 eV/atom; D(E_F) = 0.64 states/eV per atom
1.0
3.391 0.000 0.000
0.000 8.384 4.684
0.000 -8.384 4.684
In Bi Pb
6 2 1
direct
0.000 0.000 0.000 In
0.000 0.378 0.691 In
0.000 0.691 0.378 In
0.500 0.042 0.686 In
0.500 0.320 0.320 In
0.500 0.686 0.042 In
0.000 0.022 0.358 Bi
0.000 0.358 0.022 Bi
0.500 0.681 0.681 Pb